# LaCuSn2Ir, relaxed, DFT PBE-GGA
# Symmetry   P4/nmm (129)
# ΔE to the lowest computed polymorph   0.01 eV/f.u.
# Calculated density   9453 kg/m3
# Electronic total energy   -5.655 eV/atom
# Spin magnetization   0.01 μB per formula unit
data_LaCuSn2Ir
_chemical_formula_sum 'La2 Cu2 Sn4 Ir2'
_symmetry_space_group_name_H-M 'P 1'
_symmetry_Int_Tables_number 1
_symmetry_space_group_name_Hall 'P 1'
_cell_length_a 4.555
_cell_length_b 4.555
_cell_length_c 10.705
_cell_angle_alpha 90.00
_cell_angle_beta 90.00
_cell_angle_gamma 90.00
loop_
_atom_site_label
_atom_site_type_symbol
_atom_site_fract_x
_atom_site_fract_y
_atom_site_fract_z
La1 La 0.250 0.250 0.244
La2 La 0.750 0.750 0.756
Cu1 Cu 0.250 0.750 0.000
Cu2 Cu 0.750 0.250 0.000
Sn1 Sn 0.250 0.250 0.874
Sn2 Sn 0.250 0.750 0.500
Sn3 Sn 0.750 0.250 0.500
Sn4 Sn 0.750 0.750 0.126
Ir1 Ir 0.250 0.250 0.631
Ir2 Ir 0.750 0.750 0.369